No. 1
Density functional theory data (GGA-PBE) for crystalline CaIr2Se at its relaxed geometry.

Unit cell a=6.5479 b=6.5479 c=6.5479 alpha=90.00 beta=90.00 gamma=90.00
Element x y z (fractional)
Ca: 0.0000 0.0000 0.0000
Ca: 0.0000 0.5000 0.5000
Ca: 0.5000 0.0000 0.5000
Ca: 0.5000 0.5000 0.0000
Ir: 0.2500 0.2500 0.2500
Ir: 0.2500 0.2500 0.7500
Ir: 0.2500 0.7500 0.2500
Ir: 0.2500 0.7500 0.7500
Ir: 0.7500 0.2500 0.2500
Ir: 0.7500 0.2500 0.7500
Ir: 0.7500 0.7500 0.2500
Ir: 0.7500 0.7500 0.7500
Se: 0.0000 0.0000 0.5000
Se: 0.0000 0.5000 0.0000
Se: 0.5000 0.0000 0.0000
Se: 0.5000 0.5000 0.5000

## Properties
DOS(E_F) = 1.231 states/eV per atom
energy relative to the elements, uncorrected = 313 meV/atom

***

No. 2
Density functional theory data (GGA-PBE) for crystalline SnAsHOsBr at its relaxed geometry.

Unit cell a=3.2779 b=4.2246 c=8.2020 alpha=96.15 beta=91.82 gamma=112.80
Element x y z (fractional)
Sn: 0.0000 0.0000 0.0000
As: 0.5056 0.0632 0.6624
H: 0.7973 0.6360 0.7329
Os: 0.2435 0.5188 0.8020
Br: 0.0484 0.0640 0.3149

## Properties
DOS(E_F) = 0.331 states/eV per atom
final energy = -4.861 eV per atom

***

No. 3
Density functional theory data (GGA-PBE) for crystalline CdOs2RuS at its relaxed geometry.

Unit cell a=4.7644 b=4.7644 c=4.4409 alpha=90.00 beta=90.00 gamma=90.00
Element x y z (fractional)
Cd: 0.0000 0.0000 0.0000
Os: 0.0000 0.5000 0.5000
Os: 0.5000 0.0000 0.5000
Ru: 0.5000 0.5000 0.5000
S: 0.5000 0.5000 0.0000

## Properties
DOS(E_F) = 1.440 states/eV per atom
energy relative to the elements, uncorrected = 1651 meV/atom

***

No. 4
Density functional theory data (GGA-PBE) for crystalline Ag2AsIr2 at its relaxed geometry.

Unit cell a=6.1691 b=6.1691 c=4.6651 alpha=90.00 beta=90.00 gamma=90.00
Element x y z (fractional)
Ag: 0.1630 0.3370 0.0000
Ag: 0.3370 0.8370 0.0000
Ag: 0.6630 0.1630 0.0000
Ag: 0.8370 0.6630 0.0000
As: 0.0000 0.0000 0.5000
As: 0.5000 0.5000 0.5000
Ir: 0.1455 0.6455 0.5000
Ir: 0.3545 0.1455 0.5000
Ir: 0.6455 0.8545 0.5000
Ir: 0.8545 0.3545 0.5000

## Properties
DOS(E_F) = 0.413 states/eV per atom
final energy = -5.434 eV per atom

***

No. 5
Density functional theory data (GGA-PBE) for crystalline ZrInRu2 at its relaxed geometry.

Unit cell a=3.2758 b=3.2758 c=6.4188 alpha=90.00 beta=90.00 gamma=90.00
Element x y z (fractional)
Zr: 0.0000 0.0000 0.0000
In: 0.0000 0.0000 0.5000
Ru: 0.5000 0.5000 0.2475
Ru: 0.5000 0.5000 0.7525

## Properties
DOS(E_F) = 0.866 states/eV per atom
final energy = -7.806 eV per atom

***

No. 6
Density functional theory data (GGA-PBE) for crystalline AlCuHg at its relaxed geometry.

Unit cell a=6.0753 b=6.0753 c=6.0753 alpha=90.00 beta=90.00 gamma=90.00
Element x y z (fractional)
Al: 0.0000 0.0000 0.0000
Al: 0.0000 0.5000 0.5000
Al: 0.5000 0.0000 0.5000
Al: 0.5000 0.5000 0.0000
Cu: 0.2500 0.2500 0.7500
Cu: 0.2500 0.7500 0.2500
Cu: 0.7500 0.2500 0.2500
Cu: 0.7500 0.7500 0.7500
Hg: 0.0000 0.0000 0.5000
Hg: 0.0000 0.5000 0.0000
Hg: 0.5000 0.0000 0.0000
Hg: 0.5000 0.5000 0.5000

## Properties
DOS(E_F) = 0.783 states/eV per atom
final energy = -2.611 eV per atom

***

No. 7
Density functional theory data (GGA-PBE) for crystalline RbNdTeO4 at its relaxed geometry.

Unit cell a=5.9890 b=6.1803 c=8.2359 alpha=90.00 beta=107.90 gamma=90.00
Element x y z (fractional)
Rb: 0.0858 0.2500 0.1423
Rb: 0.9142 0.7500 0.8577
Nd: 0.1785 0.7500 0.4656
Nd: 0.8215 0.2500 0.5344
Te: 0.4041 0.2500 0.7453
Te: 0.5959 0.7500 0.2547
O: 0.1632 0.0115 0.6733
O: 0.1632 0.4885 0.6733
O: 0.2385 0.7500 0.1963
O: 0.4109 0.2500 0.5108
O: 0.5891 0.7500 0.4892
O: 0.7615 0.2500 0.8037
O: 0.8368 0.5115 0.3267
O: 0.8368 0.9885 0.3267

## Properties
DOS(E_F) = 0.000 states/eV per atom
energy relative to the elements, uncorrected = -1998 meV/atom

***

Question: Among the records above, which one has the highest DOS(E_F)?
Answer: CdOs2RuS

***

Please write out number 6 again, unchanged.
Density functional theory data (GGA-PBE) for crystalline AlCuHg at its relaxed geometry.

Unit cell a=6.0753 b=6.0753 c=6.0753 alpha=90.00 beta=90.00 gamma=90.00
Element x y z (fractional)
Al: 0.0000 0.0000 0.0000
Al: 0.0000 0.5000 0.5000
Al: 0.5000 0.0000 0.5000
Al: 0.5000 0.5000 0.0000
Cu: 0.2500 0.2500 0.7500
Cu: 0.2500 0.7500 0.2500
Cu: 0.7500 0.2500 0.2500
Cu: 0.7500 0.7500 0.7500
Hg: 0.0000 0.0000 0.5000
Hg: 0.0000 0.5000 0.0000
Hg: 0.5000 0.0000 0.0000
Hg: 0.5000 0.5000 0.5000

## Properties
DOS(E_F) = 0.783 states/eV per atom
final energy = -2.611 eV per atom